1.
## MgTe2N2 (GGA-PBE)

Data for a geometry-optimized MgTe2N2 structure.

The structure in CIF format:
```
data_MgTe2N2
_cell_length_a 4.292
_cell_length_b 4.292
_cell_length_c 6.407
_cell_angle_alpha 90.00
_cell_angle_beta 90.00
_cell_angle_gamma 90.00
_symmetry_space_group_name_H-M 'P 1'
_symmetry_Int_Tables_number 1
loop_
_symmetry_equiv_pos_as_xyz
'x,y,z'
loop_
_atom_site_label
_atom_site_type_symbol
_atom_site_fract_x
_atom_site_fract_y
_atom_site_fract_z
Mg1 Mg 0.000 0.000 0.000
Te1 Te 0.000 0.000 0.500
Te2 Te 0.500 0.500 0.500
N1 N 0.000 0.500 0.000
N2 N 0.500 0.000 0.000
```

Properties
- Total magnetization: 4.3 μB/f.u.
- Relative energy among the computed polymorphs: 345 meV/atom
- Uncorrected formation energy: 1204.5 meV per atom
- Symmetry: No. 123
- Density of states at the Fermi level: 0.96 states/eV per cell



2.
## MgTe2N2 (GGA-PBE)

Data for a geometry-optimized MgTe2N2 structure.

The structure in CIF format:
```
data_MgTe2N2
_cell_length_a 5.660
_cell_length_b 5.660
_cell_length_c 3.888
_cell_angle_alpha 90.00
_cell_angle_beta 90.00
_cell_angle_gamma 90.00
_symmetry_space_group_name_H-M 'P 1'
_symmetry_Int_Tables_number 1
loop_
_symmetry_equiv_pos_as_xyz
'x,y,z'
loop_
_atom_site_label
_atom_site_type_symbol
_atom_site_fract_x
_atom_site_fract_y
_atom_site_fract_z
Mg1 Mg 0.000 0.000 0.000
Te1 Te 0.000 0.500 0.000
Te2 Te 0.500 0.000 0.000
N1 N 0.000 0.000 0.500
N2 N 0.500 0.500 0.500
```

Properties
- Total magnetization: 3.4 μB/f.u.
- Relative energy among the computed polymorphs: 850 meV/atom
- Uncorrected formation energy: 1709.3 meV per atom
- Symmetry: No. 123
- Density of states at the Fermi level: 4.05 states/eV per cell



3.
## MgTe2N2 (GGA-PBE)

Data for a geometry-optimized MgTe2N2 structure.

The structure in CIF format:
```
data_MgTe2N2
_cell_length_a 7.813
_cell_length_b 7.813
_cell_length_c 3.329
_cell_angle_alpha 90.00
_cell_angle_beta 90.00
_cell_angle_gamma 90.00
_symmetry_space_group_name_H-M 'P 1'
_symmetry_Int_Tables_number 1
loop_
_symmetry_equiv_pos_as_xyz
'x,y,z'
loop_
_atom_site_label
_atom_site_type_symbol
_atom_site_fract_x
_atom_site_fract_y
_atom_site_fract_z
Mg1 Mg 0.000 0.000 0.000
Mg2 Mg 0.500 0.500 0.000
Te1 Te 0.172 0.328 0.000
Te2 Te 0.328 0.828 0.000
Te3 Te 0.672 0.172 0.000
Te4 Te 0.828 0.672 0.000
N1 N 0.212 0.712 0.500
N2 N 0.288 0.212 0.500
N3 N 0.712 0.788 0.500
N4 N 0.788 0.288 0.500
```

Properties
- Total magnetization: 0.0 μB/f.u.
- Relative energy among the computed polymorphs: 0 meV/atom
- Uncorrected formation energy: 859.1 meV per atom
- Symmetry: No. 127
- Density of states at the Fermi level: 4.00 states/eV per cell



4.
## MgTeN (GGA-PBE)

Data for a geometry-optimized MgTeN structure.

The structure in CIF format:
```
data_MgTeN
_cell_length_a 3.664
_cell_length_b 3.664
_cell_length_c 9.491
_cell_angle_alpha 101.25
_cell_angle_beta 101.25
_cell_angle_gamma 59.99
_symmetry_space_group_name_H-M 'P 1'
_symmetry_Int_Tables_number 1
loop_
_symmetry_equiv_pos_as_xyz
'x,y,z'
loop_
_atom_site_label
_atom_site_type_symbol
_atom_site_fract_x
_atom_site_fract_y
_atom_site_fract_z
Mg1 Mg 0.131 0.131 0.393
Mg2 Mg 0.869 0.869 0.607
Te1 Te 0.287 0.287 0.861
Te2 Te 0.713 0.713 0.139
N1 N 0.211 0.211 0.632
N2 N 0.789 0.789 0.368
```

Properties
- Total magnetization: 0.0 μB/f.u.
- Relative energy among the computed polymorphs: 271 meV/atom
- Uncorrected formation energy: -233.0 meV per atom
- Symmetry: No. 12
- Density of states at the Fermi level: 1.41 states/eV per cell



5.
## Mg12Te3N5 (GGA-PBE)

Data for a geometry-optimized Mg12Te3N5 structure.

The structure in CIF format:
```
data_Mg12Te3N5
_cell_length_a 12.527
_cell_length_b 12.527
_cell_length_c 12.527
_cell_angle_alpha 109.47
_cell_angle_beta 109.47
_cell_angle_gamma 109.47
_symmetry_space_group_name_H-M 'P 1'
_symmetry_Int_Tables_number 1
loop_
_symmetry_equiv_pos_as_xyz
'x,y,z'
loop_
_atom_site_label
_atom_site_type_symbol
_atom_site_fract_x
_atom_site_fract_y
_atom_site_fract_z
Mg1 Mg 0.003 0.687 0.104
Mg2 Mg 0.003 0.817 0.899
Mg3 Mg 0.083 0.683 0.687
Mg4 Mg 0.083 0.899 0.396
Mg5 Mg 0.101 0.604 0.917
Mg6 Mg 0.101 0.997 0.183
Mg7 Mg 0.104 0.003 0.687
Mg8 Mg 0.104 0.601 0.417
Mg9 Mg 0.183 0.101 0.997
Mg10 Mg 0.183 0.583 0.187
Mg11 Mg 0.187 0.183 0.583
Mg12 Mg 0.187 0.503 0.604
Mg13 Mg 0.313 0.896 0.997
Mg14 Mg 0.313 0.917 0.317
Mg15 Mg 0.317 0.313 0.917
Mg16 Mg 0.317 0.503 0.399
Mg17 Mg 0.396 0.083 0.899
Mg18 Mg 0.396 0.813 0.497
Mg19 Mg 0.399 0.317 0.503
Mg20 Mg 0.399 0.583 0.896
Mg21 Mg 0.417 0.104 0.601
Mg22 Mg 0.417 0.813 0.817
Mg23 Mg 0.497 0.396 0.813
Mg24 Mg 0.497 0.601 0.683
Mg25 Mg 0.503 0.399 0.317
Mg26 Mg 0.503 0.604 0.187
Mg27 Mg 0.583 0.187 0.183
Mg28 Mg 0.583 0.896 0.399
Mg29 Mg 0.601 0.417 0.104
Mg30 Mg 0.601 0.683 0.497
Mg31 Mg 0.604 0.187 0.503
Mg32 Mg 0.604 0.917 0.101
Mg33 Mg 0.683 0.497 0.601
Mg34 Mg 0.683 0.687 0.083
Mg35 Mg 0.687 0.083 0.683
Mg36 Mg 0.687 0.104 0.003
Mg37 Mg 0.813 0.497 0.396
Mg38 Mg 0.813 0.817 0.417
Mg39 Mg 0.817 0.417 0.813
Mg40 Mg 0.817 0.899 0.003
Mg41 Mg 0.896 0.399 0.583
Mg42 Mg 0.896 0.997 0.313
Mg43 Mg 0.899 0.003 0.817
Mg44 Mg 0.899 0.396 0.083
Mg45 Mg 0.917 0.101 0.604
Mg46 Mg 0.917 0.317 0.313
Mg47 Mg 0.997 0.183 0.101
Mg48 Mg 0.997 0.313 0.896
Te1 Te 0.125 0.250 0.375
Te2 Te 0.125 0.375 0.750
Te3 Te 0.250 0.375 0.125
Te4 Te 0.250 0.875 0.625
Te5 Te 0.375 0.125 0.250
Te6 Te 0.375 0.750 0.125
Te7 Te 0.625 0.250 0.875
Te8 Te 0.625 0.875 0.750
Te9 Te 0.750 0.125 0.375
Te10 Te 0.750 0.625 0.875
Te11 Te 0.875 0.625 0.250
Te12 Te 0.875 0.750 0.625
N1 N 0.000 0.000 0.000
N2 N 0.000 0.000 0.500
N3 N 0.000 0.500 0.000
N4 N 0.000 0.500 0.500
N5 N 0.125 0.750 0.875
N6 N 0.125 0.875 0.250
N7 N 0.250 0.125 0.875
N8 N 0.250 0.625 0.375
N9 N 0.375 0.250 0.625
N10 N 0.375 0.625 0.750
N11 N 0.500 0.000 0.000
N12 N 0.500 0.000 0.500
N13 N 0.500 0.500 0.000
N14 N 0.500 0.500 0.500
N15 N 0.625 0.375 0.250
N16 N 0.625 0.750 0.375
N17 N 0.750 0.375 0.625
N18 N 0.750 0.875 0.125
N19 N 0.875 0.125 0.750
N20 N 0.875 0.250 0.125
```

Properties
- Total magnetization: 0.0 μB/f.u.
- Uncorrected formation energy: -493.9 meV per atom
- Symmetry: No. 230
- Density of states at the Fermi level: 30.32 states/eV per cell



6.
## MgTe2N2 (GGA-PBE)

Data for a geometry-optimized MgTe2N2 structure.

The structure in CIF format:
```
data_MgTe2N2
_cell_length_a 4.053
_cell_length_b 4.053
_cell_length_c 6.486
_cell_angle_alpha 90.00
_cell_angle_beta 90.00
_cell_angle_gamma 90.00
_symmetry_space_group_name_H-M 'P 1'
_symmetry_Int_Tables_number 1
loop_
_symmetry_equiv_pos_as_xyz
'x,y,z'
loop_
_atom_site_label
_atom_site_type_symbol
_atom_site_fract_x
_atom_site_fract_y
_atom_site_fract_z
Mg1 Mg 0.000 0.000 0.000
Te1 Te 0.500 0.500 0.000
Te2 Te 0.500 0.500 0.500
N1 N 0.000 0.500 0.500
N2 N 0.500 0.000 0.500
```

Properties
- Total magnetization: 0.0 μB/f.u.
- Relative energy among the computed polymorphs: 163 meV/atom
- Uncorrected formation energy: 1021.9 meV per atom
- Symmetry: No. 123
- Density of states at the Fermi level: 1.69 states/eV per cell